{"formula": "TiTl2Tc", "functional": "GGA-PBE", "state": "optimized geometry", "formation_energy_mev_per_atom": 759, "de_polymorph_ev_per_fu": 1.20, "spacegroup": "No. 122", "volume_a3_per_fu": 86, "lattice": [[7.677, 0.000, 0.000], [0.000, 7.677, 0.000], [0.000, 0.000, 5.821]], "species": ["Ti", "Ti", "Ti", "Ti", "Tl", "Tl", "Tl", "Tl", "Tl", "Tl", "Tl", "Tl", "Tc", "Tc", "Tc", "Tc"], "fractional_positions": [[0.000, 0.000, 0.000], [0.000, 0.500, 0.250], [0.500, 0.000, 0.750], [0.500, 0.500, 0.500], [0.244, 0.250, 0.625], [0.250, 0.744, 0.875], [0.250, 0.756, 0.375], [0.256, 0.250, 0.125], [0.744, 0.750, 0.125], [0.750, 0.244, 0.375], [0.750, 0.256, 0.875], [0.756, 0.750, 0.625], [0.000, 0.000, 0.500], [0.000, 0.500, 0.750], [0.500, 0.000, 0.250], [0.500, 0.500, 0.000]]}

---

{"formula": "Pr2HoPb2", "functional": "GGA-PBE", "state": "optimized geometry", "formation_energy_mev_per_atom": -525, "spacegroup": "No. 127", "volume_a3_per_fu": 160, "lattice": [[8.307, 0.000, 0.000], [0.000, 8.307, 0.000], [0.000, 0.000, 4.628]], "species": ["Pr", "Pr", "Pr", "Pr", "Ho", "Ho", "Pb", "Pb", "Pb", "Pb"], "fractional_positions": [[0.169, 0.331, 0.000], [0.331, 0.831, 0.000], [0.669, 0.169, 0.000], [0.831, 0.669, 0.000], [0.000, 0.000, 0.500], [0.500, 0.500, 0.500], [0.136, 0.636, 0.500], [0.364, 0.136, 0.500], [0.636, 0.864, 0.500], [0.864, 0.364, 0.500]]}

---

{"formula": "HfVGe", "functional": "GGA-PBE", "state": "optimized geometry", "formation_energy_mev_per_atom": -103, "spacegroup": "No. 187", "volume_a3_per_fu": 53, "lattice": [[4.353, 0.000, 0.000], [-2.177, 3.770, 0.000], [0.000, 0.000, 3.226]], "species": ["Hf", "V", "Ge"], "fractional_positions": [[0.000, 0.000, 0.000], [0.667, 0.333, 0.500], [0.333, 0.667, 0.500]]}

---

{"formula": "TaCr3Ru", "functional": "GGA-PBE", "state": "optimized geometry", "formation_energy_mev_per_atom": 2062, "spacegroup": "No. 221", "volume_a3_per_fu": 86, "lattice": [[4.410, 0.000, 0.000], [0.000, 4.410, 0.000], [0.000, 0.000, 4.410]], "species": ["Ta", "Cr", "Cr", "Cr", "Ru"], "fractional_positions": [[0.000, 0.000, 0.000], [0.000, 0.000, 0.500], [0.000, 0.500, 0.000], [0.500, 0.000, 0.000], [0.500, 0.500, 0.500]]}

---

{"formula": "TcMo3", "functional": "GGA-PBE", "state": "optimized geometry", "formation_energy_mev_per_atom": 281, "de_polymorph_ev_per_fu": 1.04, "spacegroup": "No. 139", "volume_a3_per_fu": 63, "lattice": [[3.911, 0.000, 0.000], [0.000, 3.911, 0.000], [0.000, 0.000, 16.432]], "species": ["Tc", "Tc", "Tc", "Tc", "Mo", "Mo", "Mo", "Mo", "Mo", "Mo", "Mo", "Mo", "Mo", "Mo", "Mo", "Mo"], "fractional_positions": [[0.000, 0.000, 0.127], [0.000, 0.000, 0.873], [0.500, 0.500, 0.373], [0.500, 0.500, 0.627], [0.000, 0.000, 0.377], [0.000, 0.000, 0.623], [0.000, 0.500, 0.000], [0.000, 0.500, 0.250], [0.000, 0.500, 0.500], [0.000, 0.500, 0.750], [0.500, 0.000, 0.000], [0.500, 0.000, 0.250], [0.500, 0.000, 0.500], [0.500, 0.000, 0.750], [0.500, 0.500, 0.123], [0.500, 0.500, 0.877]]}

---

{"formula": "MgSb2Ru", "functional": "GGA-PBE", "state": "optimized geometry", "spacegroup": "No. 123", "volume_a3_per_fu": 80, "e_form_raw_ev_per_atom": 0.15, "lattice": [[4.590, 0.000, 0.000], [0.000, 4.590, 0.000], [0.000, 0.000, 3.815]], "species": ["Mg", "Sb", "Sb", "Ru"], "fractional_positions": [[0.000, 0.000, 0.000], [0.000, 0.500, 0.500], [0.500, 0.000, 0.500], [0.500, 0.500, 0.000]]}

---

{"formula": "LaGa4Ni2Os", "functional": "GGA-PBE", "state": "optimized geometry", "formation_energy_mev_per_atom": -358, "spacegroup": "No. 166", "volume_a3_per_fu": 137, "lattice": [[2.078, 1.200, 9.158], [-2.078, 1.200, 9.158], [0.000, -2.400, 9.158]], "species": ["La", "Ga", "Ga", "Ga", "Ga", "Ni", "Ni", "Os"], "fractional_positions": [[0.000, 0.000, 0.000], [0.131, 0.131, 0.131], [0.406, 0.406, 0.406], [0.594, 0.594, 0.594], [0.869, 0.869, 0.869], [0.228, 0.228, 0.228], [0.772, 0.772, 0.772], [0.500, 0.500, 0.500]]}

---

{"formula": "RbInSi", "functional": "GGA-PBE", "state": "optimized geometry", "spacegroup": "No. 12", "volume_a3_per_fu": 102, "e_form_raw_ev_per_atom": 0.04, "lattice": [[15.412, 0.000, 0.000], [0.000, 3.805, 0.000], [-1.450, 0.000, 6.944]], "species": ["Rb", "Rb", "Rb", "Rb", "In", "In", "In", "In", "Si", "Si", "Si", "Si"], "fractional_positions": [[0.121, 0.000, 0.373], [0.379, 0.500, 0.627], [0.621, 0.500, 0.373], [0.879, 0.000, 0.627], [0.094, 0.500, 0.860], [0.406, 0.000, 0.140], [0.594, 0.000, 0.860], [0.906, 0.500, 0.140], [0.248, 0.000, 0.886], [0.252, 0.500, 0.114], [0.748, 0.500, 0.886], [0.752, 0.000, 0.114]]}

---

{"formula": "CeSm6Er2", "functional": "GGA-PBE", "state": "optimized geometry", "formation_energy_mev_per_atom": 240, "spacegroup": "No. 14", "volume_a3_per_fu": 308, "lattice": [[6.200, 0.000, 0.000], [0.000, 8.703, 0.000], [-2.622, 0.000, 11.407]], "species": ["Ce", "Ce", "Sm", "Sm", "Sm", "Sm", "Sm", "Sm", "Sm", "Sm", "Sm", "Sm", "Sm", "Sm", "Er", "Er", "Er", "Er"], "fractional_positions": [[0.000, 0.000, 0.000], [0.000, 0.500, 0.500], [0.091, 0.133, 0.307], [0.091, 0.367, 0.807], [0.224, 0.165, 0.601], [0.224, 0.335, 0.101], [0.338, 0.680, 0.031], [0.338, 0.820, 0.531], [0.662, 0.180, 0.469], [0.662, 0.320, 0.969], [0.776, 0.665, 0.899], [0.776, 0.835, 0.399], [0.909, 0.633, 0.193], [0.909, 0.867, 0.693], [0.446, 0.520, 0.346], [0.446, 0.980, 0.846], [0.554, 0.020, 0.154], [0.554, 0.480, 0.654]]}

---

{"formula": "HfTiB2", "functional": "GGA-PBE", "state": "optimized geometry", "formation_energy_mev_per_atom": 616, "de_polymorph_ev_per_fu": 5.06, "spacegroup": "No. 122", "volume_a3_per_fu": 65, "lattice": [[4.597, 0.000, 0.000], [0.000, 4.597, 0.000], [0.000, 0.000, 12.210]], "species": ["Hf", "Hf", "Hf", "Hf", "Ti", "Ti", "Ti", "Ti", "B", "B", "B", "B", "B", "B", "B", "B"], "fractional_positions": [[0.000, 0.000, 0.000], [0.000, 0.500, 0.250], [0.500, 0.000, 0.750], [0.500, 0.500, 0.500], [0.000, 0.000, 0.500], [0.000, 0.500, 0.750], [0.500, 0.000, 0.250], [0.500, 0.500, 0.000], [0.216, 0.250, 0.625], [0.250, 0.716, 0.875], [0.250, 0.784, 0.375], [0.284, 0.250, 0.125], [0.716, 0.750, 0.125], [0.750, 0.216, 0.375], [0.750, 0.284, 0.875], [0.784, 0.750, 0.625]]}

---

{"formula": "AgRhN2", "functional": "GGA-PBE", "state": "optimized geometry", "de_polymorph_ev_per_fu": 1.83, "spacegroup": "No. 166", "volume_a3_per_fu": 53, "e_form_raw_ev_per_atom": 1.31, "lattice": [[3.154, 0.000, 0.000], [-1.577, 2.731, 0.000], [0.000, 0.000, 18.604]], "species": ["Ag", "Ag", "Ag", "Rh", "Rh", "Rh", "N", "N", "N", "N", "N", "N"], "fractional_positions": [[0.000, 0.000, 0.000], [0.333, 0.667, 0.667], [0.667, 0.333, 0.333], [0.000, 0.000, 0.500], [0.333, 0.667, 0.167], [0.667, 0.333, 0.833], [0.000, 0.000, 0.401], [0.000, 0.000, 0.599], [0.333, 0.667, 0.068], [0.333, 0.667, 0.266], [0.667, 0.333, 0.734], [0.667, 0.333, 0.932]]}

---

{"formula": "Na2TlZnP", "functional": "GGA-PBE", "state": "optimized geometry", "formation_energy_mev_per_atom": 377, "spacegroup": "No. 123", "volume_a3_per_fu": 180, "lattice": [[5.989, 0.000, 0.000], [0.000, 5.989, 0.000], [0.000, 0.000, 5.028]], "species": ["Na", "Na", "Tl", "Zn", "P"], "fractional_positions": [[0.000, 0.500, 0.000], [0.500, 0.000, 0.000], [0.000, 0.000, 0.000], [0.500, 0.500, 0.500], [0.000, 0.000, 0.500]]}